Record 1
Compound: BaLi2CuPt
Source: Alexandria via LeMat-Bulk
Functional: PBE
Structure: optimized geometry

a b c (Å): 4.6824 4.6824 5.0625
angles (deg): 90.00 90.00 90.00
Fractional coordinates of all 5 atoms:
1 Ba 0.0000 0.0000 0.0000
2 Li 0.0000 0.5000 0.5000
3 Li 0.5000 0.0000 0.5000
4 Cu 0.5000 0.5000 0.5000
5 Pt 0.5000 0.5000 0.0000

energy relative to the elements	-0.199	eV/atom
magnetization	0.00	μB/f.u.
Fermi-level density of states	0.39	states/eV per atom
uncorrected energy	-3.38	eV per atom


Record 2
Compound: RbBa2LiCu
Source: Alexandria via LeMat-Bulk
Functional: PBE
Structure: optimized geometry

a b c (Å): 6.4081 6.4081 5.7180
angles (deg): 90.00 90.00 90.00
Fractional coordinates of all 5 atoms:
1 Rb 0.0000 0.0000 0.0000
2 Ba 0.0000 0.5000 0.5000
3 Ba 0.5000 0.0000 0.5000
4 Li 0.5000 0.5000 0.0000
5 Cu 0.5000 0.5000 0.5000

energy relative to the elements	0.142	eV/atom
magnetization	0.00	μB/f.u.
Fermi-level density of states	0.67	states/eV per atom
uncorrected energy	-2.02	eV per atom


Record 3
Compound: BaLi2CuRh
Source: Alexandria via LeMat-Bulk
Functional: PBE
Structure: optimized geometry

a b c (Å): 4.6953 4.6953 4.9496
angles (deg): 90.00 90.00 90.00
Fractional coordinates of all 5 atoms:
1 Ba 0.0000 0.0000 0.0000
2 Li 0.0000 0.5000 0.5000
3 Li 0.5000 0.0000 0.5000
4 Cu 0.5000 0.5000 0.5000
5 Rh 0.5000 0.5000 0.0000

energy relative to the elements	0.040	eV/atom
magnetization	0.00	μB/f.u.
Fermi-level density of states	0.25	states/eV per atom
uncorrected energy	-3.40	eV per atom


Record 4
Compound: BaLi2CuRh
Source: Alexandria via LeMat-Bulk
Functional: PBE
Structure: optimized geometry

a b c (Å): 4.7755 4.7755 4.9913
angles (deg): 90.00 90.00 90.00
Fractional coordinates of all 5 atoms:
1 Ba 0.0000 0.0000 0.0000
2 Li 0.0000 0.5000 0.5000
3 Li 0.5000 0.0000 0.5000
4 Cu 0.5000 0.5000 0.0000
5 Rh 0.5000 0.5000 0.5000

energy relative to the elements	0.031	eV/atom
magnetization	0.00	μB/f.u.
Fermi-level density of states	0.41	states/eV per atom
uncorrected energy	-3.41	eV per atom


Record 5
Compound: BaLi2CuRh
Source: Alexandria via LeMat-Bulk
Functional: PBE
Structure: optimized geometry

a b c (Å): 4.8585 4.8585 5.7069
angles (deg): 90.00 90.00 90.00
Fractional coordinates of all 5 atoms:
1 Ba 0.0000 0.0000 0.0000
2 Li 0.0000 0.5000 0.5000
3 Li 0.5000 0.0000 0.5000
4 Cu 0.5000 0.5000 0.0000
5 Rh 0.0000 0.0000 0.5000

energy relative to the elements	0.305	eV/atom
magnetization	0.00	μB/f.u.
Fermi-level density of states	0.20	states/eV per atom
uncorrected energy	-3.13	eV per atom


Record 6
Compound: BaLi2ScCu
Source: Alexandria via LeMat-Bulk
Functional: PBE
Structure: optimized geometry

a b c (Å): 5.3864 5.3864 6.4661
angles (deg): 90.00 90.00 90.00
Fractional coordinates of all 5 atoms:
1 Ba 0.0000 0.0000 0.0000
2 Li 0.0000 0.5000 0.5000
3 Li 0.5000 0.0000 0.5000
4 Sc 0.0000 0.0000 0.5000
5 Cu 0.5000 0.5000 0.0000

energy relative to the elements	1.053	eV/atom
magnetization	2.44	μB/f.u.
Fermi-level density of states	1.26	states/eV per atom
uncorrected energy	-2.18	eV per atom


Record 7
Compound: Ba2LiCuSi2
Source: Alexandria via LeMat-Bulk
Functional: PBE
Structure: optimized geometry

a b c (Å): 8.7359 8.7359 8.7359
angles (deg): 136.25 62.84 137.24
Fractional coordinates of all 12 atoms:
1 Ba 0.1597 0.2383 0.3981
2 Ba 0.3403 0.7383 0.0786
3 Ba 0.6597 0.2617 0.9214
4 Ba 0.8403 0.7617 0.6019
5 Li 0.2500 0.2500 0.0000
6 Li 0.7500 0.7500 0.0000
7 Cu 0.2500 0.7500 0.5000
8 Cu 0.7500 0.2500 0.5000
9 Si 0.0831 0.7171 0.8003
10 Si 0.4169 0.2171 0.6340
11 Si 0.5831 0.7829 0.3660
12 Si 0.9169 0.2829 0.1997

magnetization	0.00	μB/f.u.
formation energy (no corrections)	-1.54	eV/f.u.
Fermi-level density of states	0.44	states/eV per atom
uncorrected energy	-3.71	eV per atom


Record 8
Compound: BaLiCu2Si
Source: Alexandria via LeMat-Bulk
Functional: PBE
Structure: optimized geometry

a b c (Å): 4.6596 4.6596 4.9070
angles (deg): 90.00 90.00 90.00
Fractional coordinates of all 5 atoms:
1 Ba 0.0000 0.0000 0.0000
2 Li 0.5000 0.5000 0.0000
3 Cu 0.0000 0.5000 0.5000
4 Cu 0.5000 0.0000 0.5000
5 Si 0.5000 0.5000 0.5000

magnetization	0.00	μB/f.u.
formation energy (no corrections)	-0.37	eV/f.u.
Fermi-level density of states	0.35	states/eV per atom
uncorrected energy	-3.56	eV per atom


Record 9
Compound: BaLiCuSi
Source: Alexandria via LeMat-Bulk
Functional: PBE
Structure: optimized geometry

a b c (Å): 6.3470 6.3470 6.3470
angles (deg): 39.34 39.34 39.34
Fractional coordinates of all 4 atoms:
1 Ba 0.0000 0.0000 0.0000
2 Li 0.1823 0.1823 0.1823
3 Cu 0.4791 0.4791 0.4791
4 Si 0.8009 0.8009 0.8009

magnetization	0.00	μB/f.u.
formation energy (no corrections)	-1.02	eV/f.u.
Fermi-level density of states	0.32	states/eV per atom
uncorrected energy	-3.59	eV per atom


Record 10
Compound: BaLiCuSn2
Source: Alexandria via LeMat-Bulk
Functional: PBE
Structure: optimized geometry

a b c (Å): 6.5415 6.5415 6.5415
angles (deg): 137.14 137.14 62.22
Fractional coordinates of all 5 atoms:
1 Ba 0.0000 0.0000 0.0000
2 Li 0.7500 0.2500 0.5000
3 Cu 0.2500 0.7500 0.5000
4 Sn 0.3686 0.3686 0.0000
5 Sn 0.6314 0.6314 0.0000

energy relative to the elements	-0.402	eV/atom
magnetization	0.00	μB/f.u.
Fermi-level density of states	0.59	states/eV per atom
uncorrected energy	-3.59	eV per atom


Record 11
Compound: Ba2SrLiCu
Source: Alexandria via LeMat-Bulk
Functional: PBE
Structure: optimized geometry

a b c (Å): 6.2827 6.2827 6.0835
angles (deg): 90.00 90.00 90.00
Fractional coordinates of all 5 atoms:
1 Ba 0.0000 0.5000 0.0000
2 Ba 0.5000 0.0000 0.0000
3 Sr 0.0000 0.0000 0.5000
4 Li 0.5000 0.5000 0.5000
5 Cu 0.0000 0.0000 0.0000

energy relative to the elements	0.069	eV/atom
magnetization	0.00	μB/f.u.
Fermi-level density of states	0.81	states/eV per atom
uncorrected energy	-2.24	eV per atom


Record 12
Compound: Ba2SrLiCu
Source: Alexandria via LeMat-Bulk
Functional: PBE
Structure: optimized geometry

a b c (Å): 6.3965 6.3965 5.3636
angles (deg): 90.00 90.00 90.00
Fractional coordinates of all 5 atoms:
1 Ba 0.0000 0.5000 0.0000
2 Ba 0.5000 0.0000 0.0000
3 Sr 0.0000 0.0000 0.5000
4 Li 0.5000 0.5000 0.5000
5 Cu 0.5000 0.5000 0.0000

energy relative to the elements	0.099	eV/atom
magnetization	0.00	μB/f.u.
Fermi-level density of states	1.03	states/eV per atom
uncorrected energy	-2.21	eV per atom


- Which value of magnetization does entry 10 give?
  0.00 μB/f.u.


- Number 5 is which compound?
  BaLi2CuRh